[1]
The following is a DFT calculation (GGA-PBE) of crystalline Cr2Cu at its relaxed geometry.

Computed properties:
Formation energy, kcal/mol of atoms: 6.132
Energy, eV/atom: -7.515

Cell: 4.1397 4.1397 2.3644 Å, 90.00 90.00 120.00°
With the nearest neighbours (Å) after each atom.
Space group P-3m1 (No. 164)
Asymmetric unit:
Cr: 0.3333 0.6667 0.1346 x2  5 Cr 2.36-2.47, 3 Cu 2.54
Cu: 0.0000 0.0000 0.5000 x1  2 Cu 2.36, 6 Cr 2.54

[2]
The following is a DFT calculation (GGA-PBE) of crystalline Ca2P4Ir3Rh at its relaxed geometry.

Computed properties:
Formation energy, kcal/mol of atoms: -19.784
Energy, eV/atom: -6.816

Cell: 4.1433 4.1433 9.5870 Å, 90.00 90.00 90.00°
With the nearest neighbours (Å) after each atom.
Space group P-4m2 (No. 115)
Asymmetric unit:
Ca: 0.0000 0.5000 0.2406 x2  8 P 3.10-3.16, 7 Ir 3.16-3.43, 2 Rh 3.24
P: 0.0000 0.0000 0.0000 x1  4 Ir 2.36
P: 0.0000 0.5000 0.6367 x2  3 Ir 2.36-2.45, 2 Rh 2.45
P: 0.5000 0.5000 0.0000 x1  4 Ir 2.36
Ir: 0.0000 0.5000 0.8824 x2  5 P 2.36
Ir: 0.5000 0.5000 0.5000 x1  4 P 2.45
Rh: 0.0000 0.0000 0.5000 x1  4 P 2.45

[3]
The following is a DFT calculation (GGA-PBE) of crystalline Hf2NpPd at its relaxed geometry.

Computed properties:
Formation energy, kcal/mol of atoms: 4.356
Distance to the lowest polymorph of the same formula, meV per atom: 323
Energy, eV/atom: -9.321

Cell: 6.8559 6.8559 6.8559 Å, 90.00 90.00 90.00°
With the nearest neighbours (Å) after each atom.
Space group Fm-3m (No. 225)
Asymmetric unit:
Hf: 0.2500 0.2500 0.2500 x8  4 Np 2.97, 4 Pd 2.97
Np: 0.0000 0.0000 0.0000 x4  8 Hf 2.97
Pd: 0.0000 0.0000 0.5000 x4  8 Hf 2.97

[4]
The following is a DFT calculation (GGA-PBE) of crystalline Sr8Ni2Ag at its relaxed geometry.

Computed properties:
Formation energy, kcal/mol of atoms: 2.850
Energy, eV/atom: -2.410

Cell: 9.5016 9.5016 6.4021 Å, 90.00 90.00 120.00°
With the nearest neighbours (Å) after each atom.
Space group P-3 (No. 147)
Asymmetric unit:
Sr: 0.1640 0.3299 0.2475 x6  1 Ni 2.77
Sr: 0.3333 0.6667 0.7479 x2  2 Ni 3.19-3.21
Ni: 0.3333 0.6667 0.2493 x2  3 Sr 2.77
Ag: 0.0000 0.0000 0.5000 x1  6 Sr 3.16

[5]
The following is a DFT calculation (GGA-PBE) of crystalline ScTaB2 at its relaxed geometry.

Computed properties:
Formation energy, kcal/mol of atoms: -14.287
Distance to the lowest polymorph of the same formula, meV per atom: 0
Energy, eV/atom: -8.504

Cell: 3.1456 3.4187 9.0601 Å, 90.00 90.00 90.00°
With the nearest neighbours (Å) after each atom.
Space group Amm2 (No. 38)
Asymmetric unit:
Sc: 0.0000 0.0000 0.0000 x2  7 B 2.50-2.63
Ta: 0.5000 0.0000 0.2857 x2  6 B 2.39-2.42
B: 0.0000 0.0000 0.7095 x2  2 B 1.86
B: 0.5000 0.0000 0.6006 x2  2 B 1.86

[6]
The following is a DFT calculation (GGA-PBE) of crystalline LaPdIN2 at its relaxed geometry.

Computed properties:
Uncorrected formation energy, eV/atom: 0.72
Distance to the lowest polymorph of the same formula, meV per atom: 0
Energy, eV/atom: -4.948

Cell: 4.3806 4.3806 5.0707 Å, 90.00 90.00 90.00°
With the nearest neighbours (Å) after each atom.
Space group P4/mmm (No. 123)
Asymmetric unit:
La: 0.0000 0.0000 0.0000 x1  4 I 3.10, 8 N 3.35
Pd: 0.5000 0.5000 0.5000 x1  4 N 2.19
I: 0.5000 0.5000 0.0000 x1  2 Pd 2.54
N: 0.0000 0.5000 0.5000 x2  2 Pd 2.19